1.
Below is a geometry-optimized Sm5Mg structure, with properties calculated at the GGA-PBE level.

Computed properties:
As for the energy above the most stable polymorph in this dataset: 0.90 kcal/mol of atoms. For the final energy, the calculation gives -4.1801 eV/atom. Its total moment is 0.00 μB/cell.

Cell: 9.3248 9.3248 5.7662 Å, 90.00 90.00 157.21°
Sites, in units of the cell vectors:
Mg1 0.7815 0.2185 0.5000
Sm1 0.6662 0.3338 0.0000
Sm2 0.1196 0.8804 0.5000
Sm3 0.9946 0.0054 0.0000
Sm4 0.4461 0.5539 0.5000
Sm5 0.3253 0.6747 0.0000

***

2.
Below is a geometry-optimized AcScCuRu structure, with properties calculated at the GGA-PBE level.

Computed properties:
For the final energy, the calculation gives -6.0494 eV/atom. Its total moment is 0.00 μB/cell.

Cell: 4.9472 4.9472 4.9472 Å, 60.00 60.00 60.00°
Sites, in units of the cell vectors:
Cu1 0.7500 0.7500 0.7500
Ru1 0.2500 0.2500 0.2500
Sc1 0.0000 0.0000 0.0000
Ac1 0.5000 0.5000 0.5000

***

3.
Below is a geometry-optimized Y2ZrZnO structure, with properties calculated at the GGA-PBE level.

Computed properties:
For the final energy, the calculation gives -6.7255 eV/atom. Its total moment is 0.00 μB/cell. The value obtained for the energy relative to the elements, uncorrected is -1.184 eV/atom.

Cell: 4.7248 4.7248 4.4736 Å, 90.00 90.00 90.00°
Sites, in units of the cell vectors:
O1 0.0000 0.0000 0.0000
Zr1 0.0000 0.0000 0.5000
Y1 0.5000 0.0000 0.0000
Y2 0.0000 0.5000 0.0000
Zn1 0.5000 0.5000 0.5000

***

4.
Below is a geometry-optimized Mg5Sc3 structure, with properties calculated at the GGA-PBE level.

Computed properties:
As for the energy above the most stable polymorph in this dataset: 4.12 kcal/mol of atoms. For the final energy, the calculation gives -3.2287 eV/atom. Its total moment is 1.81 μB/cell.

Cell: 8.8614 8.8614 5.7076 Å, 90.00 90.00 120.00°
Each line ends with the local moment (μB).
Sites, in units of the cell vectors:
Mg1 0.0000 0.2338 0.2500  0.00
Mg2 0.0000 0.7662 0.7500  0.00
Mg3 0.7662 0.7662 0.2500  0.00
Mg4 0.2338 0.2338 0.7500  0.00
Mg5 0.3333 0.6667 0.5000  0.01
Mg6 0.6667 0.3333 0.5000  0.01
Mg7 0.7662 0.0000 0.7500  0.00
Mg8 0.6667 0.3333 0.0000  0.01
Mg9 0.2338 0.0000 0.2500  0.00
Mg10 0.3333 0.6667 0.0000  0.01
Sc1 0.0000 0.4037 0.7500  0.17
Sc2 0.0000 0.5963 0.2500  0.17
Sc3 0.5963 0.5963 0.7500  0.17
Sc4 0.5963 0.0000 0.2500  0.17
Sc5 0.4037 0.0000 0.7500  0.17
Sc6 0.4037 0.4037 0.2500  0.17

***

5.
Below is a geometry-optimized RhCN structure, with properties calculated at the GGA-PBE level.

Computed properties:
For the final energy, the calculation gives -7.3864 eV/atom. Its total moment is 0.00 μB/cell. The value obtained for the energy relative to the elements, uncorrected is 0.914 eV/atom.

Cell: 3.8119 3.8119 3.7359 Å, 120.67 120.67 90.00°
Sites, in units of the cell vectors:
C1 0.5731 0.5731 0.1462
Rh1 0.9374 0.9374 0.8748
N1 0.3395 0.3395 0.6790

***

6.
Below is a geometry-optimized Cs3Tb2MgSe6 structure, with properties calculated at the GGA-PBE level.

Computed properties:
For the final energy, the calculation gives -4.2913 eV/atom. Its total moment is 0.00 μB/cell. The value obtained for the energy relative to the elements, uncorrected is -1.431 eV/atom.

Cell: 7.3369 7.3369 8.7248 Å, 98.07 98.07 120.01°
Sites, in units of the cell vectors:
Cs1 0.8325 0.1675 0.5000
Cs2 0.5000 0.5000 0.5000
Cs3 0.1675 0.8325 0.5000
Tb1 0.6664 0.3336 0.0000
Tb2 0.3336 0.6664 0.0000
Se1 0.0609 0.3887 0.1830
Se2 0.7333 0.7333 0.1838
Se3 0.3887 0.0609 0.1830
Se4 0.9391 0.6113 0.8170
Se5 0.2667 0.2667 0.8162
Se6 0.6113 0.9391 0.8170
Mg1 0.0000 0.0000 0.0000

***

7.
Below is a geometry-optimized CuRePb2 structure, with properties calculated at the GGA-PBE level.

Computed properties:
As for the energy above the most stable polymorph in this dataset: 8.08 kcal/mol of atoms. For the final energy, the calculation gives -5.0456 eV/atom. Its total moment is 0.71 μB/cell.

Cell: 5.5948 5.5948 5.5948 Å, 137.01 137.01 62.42°
Each line ends with the local moment (μB).
Sites, in units of the cell vectors:
Pb1 0.0000 0.0000 0.0000  -0.01
Pb2 0.2500 0.7500 0.5000  -0.01
Cu1 0.7500 0.2500 0.5000  0.00
Re1 0.5000 0.5000 0.0000  0.66

***

8.
Below is a geometry-optimized CsVAgTe2 structure, with properties calculated at the GGA-PBE level.

Computed properties:
For the final energy, the calculation gives -4.2180 eV/atom. Its total moment is 6.01 μB/cell. The value obtained for the energy relative to the elements, uncorrected is -0.397 eV/atom.

Cell: 6.9255 6.3444 8.5306 Å, 111.83 90.00 90.00°
Each line ends with the local moment (μB).
Sites, in units of the cell vectors:
V1 0.5000 0.7500 0.0000  2.52
V2 0.5000 0.2500 0.0000  2.52
Cs1 0.7688 0.2500 0.5000  0.00
Cs2 0.2312 0.7500 0.5000  0.00
Te1 0.7036 0.8914 0.7829  -0.06
Te2 0.7036 0.6086 0.2171  -0.06
Te3 0.2964 0.1086 0.2171  -0.06
Te4 0.2964 0.3914 0.7829  -0.06
Ag1 0.0000 0.0000 0.0000  0.03
Ag2 0.0000 0.5000 0.0000  0.03

***

9.
Below is a geometry-optimized Zn3Cd3Pb structure, with properties calculated at the GGA-PBE level.

Computed properties:
For the final energy, the calculation gives -1.0195 eV/atom. Its total moment is 0.00 μB/cell.

Cell: 7.4217 7.4217 7.4217 Å, 90.00 90.00 90.00°
Sites, in units of the cell vectors:
Zn1 0.5000 0.7500 0.0000
Zn2 0.5000 0.2500 0.0000
Zn3 0.0000 0.5000 0.7500
Zn4 0.7500 0.0000 0.5000
Zn5 0.0000 0.5000 0.2500
Zn6 0.2500 0.0000 0.5000
Cd1 0.0000 0.7500 0.5000
Cd2 0.0000 0.2500 0.5000
Cd3 0.2500 0.5000 0.0000
Cd4 0.5000 0.0000 0.7500
Cd5 0.5000 0.0000 0.2500
Cd6 0.7500 0.5000 0.0000
Pb1 0.5000 0.5000 0.5000
Pb2 0.0000 0.0000 0.0000

***

10.
Below is a geometry-optimized NaZn2GaPb structure, with properties calculated at the GGA-PBE level.

Computed properties:
For the final energy, the calculation gives -1.8975 eV/atom. Its total moment is 0.00 μB/cell.

Cell: 4.9418 5.5961 4.9418 Å, 90.00 90.00 90.00°
Sites, in units of the cell vectors:
Na1 0.5000 0.5000 0.5000
Zn1 0.0000 0.0000 0.5000
Zn2 0.5000 0.0000 0.0000
Ga1 0.0000 0.0000 0.0000
Pb1 0.0000 0.5000 0.0000

***

11.
Below is a geometry-optimized Sb2WN structure, with properties calculated at the GGA-PBE level.

Computed properties:
For the final energy, the calculation gives -6.3174 eV/atom. Its total moment is 0.00 μB/cell. The value obtained for the energy relative to the elements, uncorrected is 1.063 eV/atom.

Cell: 6.0386 6.0386 6.1837 Å, 60.77 60.77 90.00°
Sites, in units of the cell vectors:
Sb1 0.8750 0.8160 0.7500
Sb2 0.3750 0.4340 0.7500
Sb3 0.1840 0.6250 0.2500
Sb4 0.5660 0.1250 0.2500
W1 0.0000 0.0000 0.0000
W2 0.7500 0.2500 0.5000
N1 0.2500 0.7500 0.5000
N2 0.5000 0.5000 0.0000

***

12.
Below is a geometry-optimized TaMoOs2 structure, with properties calculated at the GGA-PBE level.

Computed properties:
As for the energy above the most stable polymorph in this dataset: 2.17 kcal/mol of atoms. For the final energy, the calculation gives -11.2245 eV/atom. Its total moment is 0.00 μB/cell.

Cell: 5.2500 5.2500 5.2500 Å, 144.97 129.87 62.62°
Sites, in units of the cell vectors:
Os1 0.9911 0.9911 0.0000
Os2 0.2636 0.7636 0.5000
Ta1 0.5027 0.5027 0.0000
Mo1 0.7426 0.2426 0.5000

***

The highest final energy belongs to which entry?
Zn3Cd3Pb

***

Look up the total moment of the seventh one.
0.71 μB/cell

***

Which of these has the highest total moment?
CsVAgTe2